Entry from Alexandria via LeMat-Bulk: LiTaIn2 after structural relaxation (PBE-GGA).

a b c (Å): 3.038 5.081 5.081
angles (deg): 90.00 90.00 90.00
Space group Pmm2 (No. 25)
Symmetry-distinct sites (fractional):
1 Li 0.000 0.000 0.000 x1
2 Ta 0.000 0.500 0.501 x1
3 In 0.500 0.000 0.500 x1
4 In 0.500 0.500 0.001 x1

Results
DFT total energy ... -4.79 eV per atom
Spin magnetization ... 0.00 μB per formula unit
Energy of formation from the pure elements ... 20.6 meV per atom
Energy above the most stable polymorph in this dataset ... 17 meV/atom

=====

Entry from Alexandria via LeMat-Bulk: LiTaIn2 after structural relaxation (PBE-GGA).

a b c (Å): 6.854 6.854 6.854
angles (deg): 90.00 90.00 90.00
Space group F-43m (No. 216)
Symmetry-distinct sites (fractional):
1 Li 0.000 0.000 0.000 x4
2 Ta 0.250 0.250 0.750 x4
3 In 0.000 0.000 0.500 x4
4 In 0.250 0.250 0.250 x4

Results
DFT total energy ... -4.27 eV per atom
Spin magnetization ... 0.00 μB per formula unit
Energy of formation from the pure elements ... 539.2 meV per atom
Energy above the most stable polymorph in this dataset ... 535 meV/atom

=====

Entry from Alexandria via LeMat-Bulk: LiTaIn2 after structural relaxation (PBE-GGA).

a b c (Å): 2.958 2.958 9.037
angles (deg): 90.00 90.00 90.00
Space group P4/mmm (No. 123)
Symmetry-distinct sites (fractional):
1 Li 0.000 0.000 0.000 x1
2 Ta 0.000 0.000 0.500 x1
3 In 0.500 0.500 0.246 x2

Results
DFT total energy ... -4.80 eV per atom
Spin magnetization ... 0.00 μB per formula unit
Energy of formation from the pure elements ... 11.2 meV per atom
Energy above the most stable polymorph in this dataset ... 7 meV/atom

=====

Entry from Alexandria via LeMat-Bulk: LiTaIn2 after structural relaxation (PBE-GGA).

a b c (Å): 2.963 2.963 9.442
angles (deg): 90.00 90.00 90.00
Space group P4mm (No. 99)
Symmetry-distinct sites (fractional):
1 Li 0.000 0.000 0.000 x1
2 Ta 0.500 0.500 0.238 x1
3 In 0.000 0.000 0.472 x1
4 In 0.500 0.500 0.759 x1

Results
DFT total energy ... -4.56 eV per atom
Spin magnetization ... 0.00 μB per formula unit
Energy of formation from the pure elements ... 254.5 meV per atom
Energy above the most stable polymorph in this dataset ... 250 meV/atom

=====

Entry from Alexandria via LeMat-Bulk: Li2TaIn2 after structural relaxation (PBE-GGA).

a b c (Å): 7.830 7.830 3.008
angles (deg): 90.00 90.00 90.00
Space group P4/mbm (No. 127)
Symmetry-distinct sites (fractional):
1 Li 0.152 0.348 0.000 x4
2 Ta 0.000 0.000 0.500 x2
3 In 0.151 0.651 0.500 x4

Results
DFT total energy ... -4.08 eV per atom
Spin magnetization ... 0.00 μB per formula unit
Energy of formation from the pure elements ... 151.1 meV per atom
Energy above the most stable polymorph in this dataset ... 71 meV/atom

=====

Entry from Alexandria via LeMat-Bulk: LiTaIn2 after structural relaxation (PBE-GGA).

a b c (Å): 4.289 4.289 19.345
angles (deg): 90.00 90.00 90.00
Space group I-42d (No. 122)
Symmetry-distinct sites (fractional):
1 Li 0.000 0.000 0.000 x4
2 Ta 0.000 0.000 0.500 x4
3 In 0.249 0.250 0.625 x8

Results
DFT total energy ... -4.15 eV per atom
Spin magnetization ... 0.00 μB per formula unit
Energy of formation from the pure elements ... 663.1 meV per atom
Energy above the most stable polymorph in this dataset ... 659 meV/atom

=====

Entry from Alexandria via LeMat-Bulk: LiTaIn2 after structural relaxation (PBE-GGA).

a b c (Å): 4.387 4.387 3.960
angles (deg): 90.00 90.00 90.00
Space group P4/mmm (No. 123)
Symmetry-distinct sites (fractional):
1 Li 0.000 0.000 0.000 x1
2 Ta 0.500 0.500 0.000 x1
3 In 0.000 0.500 0.500 x2

Results
DFT total energy ... -4.69 eV per atom
Spin magnetization ... 0.00 μB per formula unit
Energy of formation from the pure elements ... 124.6 meV per atom
Energy above the most stable polymorph in this dataset ... 121 meV/atom

=====

Entry from Alexandria via LeMat-Bulk: LiTaIn2 after structural relaxation (PBE-GGA).

a b c (Å): 6.315 8.246 2.989
angles (deg): 90.00 90.13 90.00
Space group C2/m (No. 12)
Symmetry-distinct sites (fractional):
1 Li 0.000 0.000 0.000 x2
2 Ta 0.000 0.500 0.000 x2
3 In 0.250 0.250 0.500 x4

Results
DFT total energy ... -4.81 eV per atom
Spin magnetization ... 0.00 μB per formula unit
Energy of formation from the pure elements ... 4.0 meV per atom
Energy above the most stable polymorph in this dataset ... 0 meV/atom

=====

- What is the formula in the first record?
  LiTaIn2

=====

- What is the formula in the first record?
  LiTaIn2

=====

- Look up the energy of formation from the pure elements of the eighth one.
  4.0 meV per atom